Entry 1:
This record from Alexandria describes an optimized crystal structure of La8IrPt2C. The functional is PBE.

The structure in POSCAR format:
```
La8IrPt2C
1.0
6.727 0.000 0.000
0.000 8.338 0.000
-0.064 0.000 6.904
La Ir Pt C
8 1 2 1
Direct
0.219 0.229 0.344 La
0.219 0.771 0.344 La
0.248 0.000 0.807 La
0.264 0.500 0.833 La
0.736 0.500 0.167 La
0.752 0.000 0.193 La
0.781 0.229 0.656 La
0.781 0.771 0.656 La
0.000 0.500 0.500 Ir
0.500 0.242 0.000 Pt
0.500 0.758 0.000 Pt
0.000 0.000 0.500 C
```

Properties
E: -6.341 eV/atom
energy of formation: -0.54 eV per atom
magnetic moment: 0.0000 μB/atom

Entry 2:
This record from Alexandria describes an optimized crystal structure of La2IrPtC. The functional is PBE.

The structure in POSCAR format:
```
La2IrPtC
1.0
5.326 0.000 0.000
0.000 5.326 0.000
0.000 0.000 3.851
La Ir Pt C
2 1 1 1
Direct
0.000 0.500 0.000 La
0.500 0.000 0.000 La
0.000 0.000 0.500 Ir
0.500 0.500 0.500 Pt
0.000 0.000 0.000 C
```

Properties
E: -7.474 eV/atom
energy of formation: -0.68 eV per atom
magnetic moment: 0.0000 μB/atom

Entry 3:
This record from Alexandria describes an optimized crystal structure of LaIr2RhC. The functional is PBE.

The structure in POSCAR format:
```
LaIr2RhC
1.0
4.022 0.000 0.000
0.000 4.022 0.000
0.000 0.000 5.203
La Ir Rh C
1 2 1 1
Direct
0.000 0.000 0.000 La
0.000 0.500 0.500 Ir
0.500 0.000 0.500 Ir
0.500 0.500 0.000 Rh
0.000 0.000 0.500 C
```

Properties
E: -7.872 eV/atom
energy of formation: -0.03 eV per atom
magnetic moment: 0.0802 μB/atom

Entry 4:
This record from Alexandria describes an optimized crystal structure of La2IrRhC. The functional is PBE.

The structure in POSCAR format:
```
La2IrRhC
1.0
5.319 0.000 0.000
0.000 5.319 0.000
0.000 0.000 3.829
La Ir Rh C
2 1 1 1
Direct
0.000 0.500 0.000 La
0.500 0.000 0.000 La
0.000 0.000 0.500 Ir
0.500 0.500 0.500 Rh
0.000 0.000 0.000 C
```

Properties
E: -7.504 eV/atom
energy of formation: -0.45 eV per atom
magnetic moment: 0.0000 μB/atom

Entry 5:
This record from Alexandria describes an optimized crystal structure of La2IrRuC. The functional is PBE.

The structure in POSCAR format:
```
La2IrRuC
1.0
5.225 0.000 0.000
0.000 5.225 0.000
0.000 0.000 3.872
La Ir Ru C
2 1 1 1
Direct
0.000 0.500 0.000 La
0.500 0.000 0.000 La
0.000 0.000 0.500 Ir
0.500 0.500 0.500 Ru
0.500 0.500 0.000 C
```

Properties
E: -7.658 eV/atom
energy of formation: -0.22 eV per atom
magnetic moment: 0.0000 μB/atom

Entry 6:
This record from Alexandria describes an optimized crystal structure of LaSb2IrC. The functional is PBE.

The structure in POSCAR format:
```
LaSb2IrC
1.0
4.620 0.000 0.000
0.000 4.620 0.000
0.000 0.000 4.979
La Sb Ir C
1 2 1 1
Direct
0.000 0.000 0.000 La
0.000 0.500 0.500 Sb
0.500 0.000 0.500 Sb
0.500 0.500 0.000 Ir
0.000 0.000 0.500 C
```

Properties
E: -5.785 eV/atom
uncorrected formation energy: 466 meV/atom
magnetic moment: 0.0000 μB/atom